[1]
! Sc3GePt | the Alexandria database | PBE | relaxed; values from VASP
! - total moment (μB/cell) = 0.000
! - E_form (eV/atom) = -0.30
! - relative energy among the computed polymorphs (eV per formula unit) = 0.00
! - SG = Pm-3m
! - uncorrected energy (eV per atom) = -6.23
&SYSTEM
  ibrav = 0, nat = 5, ntyp = 3
/
ATOMIC_SPECIES
Sc 44.96 Sc.upf
Ge 72.64 Ge.upf
Pt 195.08 Pt.upf
ATOMIC_POSITIONS angstrom
Sc 0.000 0.000 2.516
Sc 0.000 2.516 0.000
Sc 2.516 0.000 0.000
Ge 2.516 2.516 2.516
Pt 0.000 0.000 0.000
CELL_PARAMETERS angstrom
5.033 0.000 0.000
0.000 5.033 0.000
0.000 0.000 5.033

=====

[2]
! PuAg4Pb | the Alexandria database | PBE | relaxed; values from VASP
! - total moment (μB/cell) = 5.815
! - E_form (eV/atom) = -0.02
! - SG = F-43m
! - uncorrected energy (eV per atom) = -4.93
&SYSTEM
  ibrav = 0, nat = 6, ntyp = 3
/
ATOMIC_SPECIES
Pu 244.00 Pu.upf
Ag 107.87 Ag.upf
Pb 207.20 Pb.upf
ATOMIC_POSITIONS angstrom
Pu 0.000 0.000 0.000
Ag 3.023 3.023 3.023
Ag 5.045 5.045 3.023
Ag 5.045 3.023 5.045
Ag 3.023 5.045 5.045
Pb 6.051 6.051 6.051
CELL_PARAMETERS angstrom
0.000 4.034 4.034
4.034 0.000 4.034
4.034 4.034 0.000

=====

[3]
! LiLa2ThSe4 | the Alexandria database | PBE | relaxed; values from VASP
! - total moment (μB/cell) = 0.000
! - SG = P2/m
! - uncorrected energy (eV per atom) = -5.88
&SYSTEM
  ibrav = 0, nat = 8, ntyp = 4
/
ATOMIC_SPECIES
Li 6.94 Li.upf
La 138.91 La.upf
Th 232.04 Th.upf
Se 78.96 Se.upf
ATOMIC_POSITIONS angstrom
Li 0.000 0.000 0.000
La 2.423 0.000 3.467
La 3.632 2.111 0.000
Th -1.209 2.111 3.467
Se 1.112 2.111 1.656
Se -0.124 0.000 5.248
Se 4.970 0.000 1.687
Se 3.735 2.111 5.278
CELL_PARAMETERS angstrom
7.265 0.000 0.000
0.000 4.222 0.000
-2.418 0.000 6.935

=====

[4]
! SrTiP2O | the Alexandria database | PBE | relaxed; values from VASP
! - total moment (μB/cell) = 0.595
! - relative energy among the computed polymorphs (eV per formula unit) = 9.26
! - SG = P4/mmm
! - uncorrected energy (eV per atom) = -4.34
&SYSTEM
  ibrav = 0, nat = 5, ntyp = 4
/
ATOMIC_SPECIES
Sr 87.62 Sr.upf
Ti 47.87 Ti.upf
P 30.97 P.upf
O 16.00 O.upf
ATOMIC_POSITIONS angstrom
Sr 0.000 0.000 0.000
Ti 2.688 2.688 2.143
P 0.000 2.688 0.000
P 2.688 0.000 0.000
O 0.000 0.000 2.143
CELL_PARAMETERS angstrom
5.377 0.000 0.000
0.000 5.377 0.000
0.000 0.000 4.286

=====

[5]
! NaAlSb2Te | the Alexandria database | PBE | relaxed; values from VASP
! - total moment (μB/cell) = 0.000
! - relative energy among the computed polymorphs (eV per formula unit) = 3.19
! - SG = P4/mmm
! - uncorrected energy (eV per atom) = -2.50
&SYSTEM
  ibrav = 0, nat = 5, ntyp = 4
/
ATOMIC_SPECIES
Na 22.99 Na.upf
Al 26.98 Al.upf
Sb 121.76 Sb.upf
Te 127.60 Te.upf
ATOMIC_POSITIONS angstrom
Na 0.000 0.000 0.000
Al 2.722 2.722 2.760
Sb 0.000 2.722 0.000
Sb 2.722 0.000 0.000
Te 0.000 0.000 2.760
CELL_PARAMETERS angstrom
5.444 0.000 0.000
0.000 5.444 0.000
0.000 0.000 5.519

=====

[6]
! AlC3I | the Alexandria database | PBE | relaxed; values from VASP
! - total moment (μB/cell) = 0.000
! - relative energy among the computed polymorphs (eV per formula unit) = 0.00
! - SG = Pm-3m
! - uncorrected energy (eV per atom) = -4.08
&SYSTEM
  ibrav = 0, nat = 5, ntyp = 3
/
ATOMIC_SPECIES
Al 26.98 Al.upf
C 12.01 C.upf
I 126.90 I.upf
ATOMIC_POSITIONS angstrom
Al 0.000 0.000 0.000
C 0.000 0.000 2.044
C 0.000 2.044 0.000
C 2.044 0.000 0.000
I 2.044 2.044 2.044
CELL_PARAMETERS angstrom
4.089 0.000 0.000
0.000 4.089 0.000
0.000 0.000 4.089

=====

[7]
! Tm3Sc2Pb4 | the Alexandria database | PBE | relaxed; values from VASP
! - total moment (μB/cell) = 0.000
! - E_form (eV/atom) = -0.37
! - SG = C2/m
! - uncorrected energy (eV per atom) = -4.91
&SYSTEM
  ibrav = 0, nat = 9, ntyp = 3
/
ATOMIC_SPECIES
Tm 168.93 Tm.upf
Sc 44.96 Sc.upf
Pb 207.20 Pb.upf
ATOMIC_POSITIONS angstrom
Tm 0.000 0.000 0.000
Tm 0.683 0.000 3.871
Tm 12.995 0.000 2.584
Sc 3.306 0.000 6.115
Sc 10.372 0.000 0.340
Pb 3.132 0.000 1.800
Pb 6.220 0.000 4.627
Pb 7.458 0.000 1.828
Pb 10.546 0.000 4.655
CELL_PARAMETERS angstrom
7.817 -2.443 0.000
7.817 2.443 0.000
-1.956 0.000 6.455

=====

[8]
! NbPtS2 | the Alexandria database | PBE | relaxed; values from VASP
! - total moment (μB/cell) = 0.000
! - SG = R-3m
! - uncorrected energy (eV per atom) = -6.76
&SYSTEM
  ibrav = 0, nat = 4, ntyp = 3
/
ATOMIC_SPECIES
Nb 92.91 Nb.upf
Pt 195.08 Pt.upf
S 32.06 S.upf
ATOMIC_POSITIONS angstrom
Nb 0.000 0.000 0.000
Pt 0.000 0.000 11.756
S 0.000 0.000 9.471
S 0.000 0.000 14.042
CELL_PARAMETERS angstrom
1.612 0.931 7.838
-1.612 0.931 7.838
0.000 -1.862 7.838

=====

[9]
! MgHg2Te | the Alexandria database | PBE | relaxed; values from VASP
! - total moment (μB/cell) = 0.000
! - relative energy among the computed polymorphs (eV per formula unit) = 0.51
! - SG = Imm2
! - uncorrected energy (eV per atom) = -1.49
&SYSTEM
  ibrav = 0, nat = 4, ntyp = 3
/
ATOMIC_SPECIES
Mg 24.30 Mg.upf
Hg 200.59 Hg.upf
Te 127.60 Te.upf
ATOMIC_POSITIONS angstrom
Mg 0.000 0.000 0.000
Hg 0.000 0.000 4.355
Hg 0.000 3.046 2.262
Te 2.141 0.000 1.912
CELL_PARAMETERS angstrom
-2.141 3.046 4.290
2.141 -3.046 4.290
2.141 3.046 -4.290

=====

[10]
! TlAg2Au | the Alexandria database | PBE | relaxed; values from VASP
! - total moment (μB/cell) = 0.000
! - E_form (eV/atom) = 0.08
! - relative energy among the computed polymorphs (eV per formula unit) = 0.08
! - SG = P4/mmm
! - uncorrected energy (eV per atom) = -2.76
&SYSTEM
  ibrav = 0, nat = 4, ntyp = 3
/
ATOMIC_SPECIES
Tl 204.38 Tl.upf
Ag 107.87 Ag.upf
Au 196.97 Au.upf
ATOMIC_POSITIONS angstrom
Tl 0.000 0.000 0.000
Ag 0.000 2.158 2.136
Ag 2.158 0.000 2.136
Au 2.158 2.158 0.000
CELL_PARAMETERS angstrom
4.316 0.000 0.000
0.000 4.316 0.000
0.000 0.000 4.273

=====

[11]
! CeNdZn4 | the Alexandria database | PBE | relaxed; values from VASP
! - total moment (μB/cell) = 2.080
! - E_form (eV/atom) = -0.25
! - relative energy among the computed polymorphs (eV per formula unit) = 0.32
! - SG = I-4m2
! - uncorrected energy (eV per atom) = -2.88
&SYSTEM
  ibrav = 0, nat = 6, ntyp = 3
/
ATOMIC_SPECIES
Ce 140.12 Ce.upf
Nd 144.24 Nd.upf
Zn 65.41 Zn.upf
ATOMIC_POSITIONS angstrom
Ce 0.000 0.000 0.000
Nd 2.099 0.000 3.841
Zn 0.000 0.000 6.419
Zn 0.000 0.000 8.943
Zn 0.000 2.099 2.576
Zn 0.000 2.099 5.105
CELL_PARAMETERS angstrom
-2.099 2.099 7.681
2.099 -2.099 7.681
2.099 2.099 -7.681

=====

[12]
! LiOs2Ru2 | the Alexandria database | PBE | relaxed; values from VASP
! - total moment (μB/cell) = 0.000
! - E_form (eV/atom) = 0.27
! - relative energy among the computed polymorphs (eV per formula unit) = 0.18
! - SG = P4/mbm
! - uncorrected energy (eV per atom) = -8.32
&SYSTEM
  ibrav = 0, nat = 10, ntyp = 3
/
ATOMIC_SPECIES
Li 6.94 Li.upf
Os 190.23 Os.upf
Ru 101.07 Ru.upf
ATOMIC_POSITIONS angstrom
Li 0.000 0.000 0.000
Li 3.788 3.788 0.000
Os 1.280 2.508 1.345
Os 2.508 6.295 1.345
Os 5.068 1.280 1.345
Os 6.295 5.068 1.345
Ru 0.937 4.725 0.000
Ru 2.851 0.937 0.000
Ru 4.725 6.638 0.000
Ru 6.638 2.851 0.000
CELL_PARAMETERS angstrom
7.576 0.000 0.000
0.000 7.576 0.000
0.000 0.000 2.689

=====

[13]
! CePmRuAu | the Alexandria database | PBE | relaxed; values from VASP
! - total moment (μB/cell) = 0.681
! - E_form (eV/atom) = -0.41
! - SG = F-43m
! - uncorrected energy (eV per atom) = -6.22
&SYSTEM
  ibrav = 0, nat = 4, ntyp = 4
/
ATOMIC_SPECIES
Ce 140.12 Ce.upf
Pm 145.00 Pm.upf
Ru 101.07 Ru.upf
Au 196.97 Au.upf
ATOMIC_POSITIONS angstrom
Ce 0.000 0.000 0.000
Pm 3.583 3.583 3.583
Ru 5.374 5.374 5.374
Au 1.791 1.791 1.791
CELL_PARAMETERS angstrom
0.000 3.583 3.583
3.583 0.000 3.583
3.583 3.583 0.000

=====

[14]
! LiTcGe | the Alexandria database | PBE | relaxed; values from VASP
! - total moment (μB/cell) = 0.001
! - E_form (eV/atom) = -0.06
! - relative energy among the computed polymorphs (eV per formula unit) = 0.45
! - SG = Fmmm
! - uncorrected energy (eV per atom) = -5.69
&SYSTEM
  ibrav = 0, nat = 6, ntyp = 3
/
ATOMIC_SPECIES
Li 6.94 Li.upf
Tc 98.00 Tc.upf
Ge 72.64 Ge.upf
ATOMIC_POSITIONS angstrom
Li 2.667 2.686 2.262
Li 2.667 2.686 11.292
Tc 1.334 1.343 0.000
Tc 1.334 1.343 6.777
Ge 2.667 2.686 4.945
Ge 2.667 2.686 8.609
CELL_PARAMETERS angstrom
0.000 2.686 6.777
2.667 0.000 6.777
2.667 2.686 0.000

=====

[15]
! SiHg2Pb | the Alexandria database | PBE | relaxed; values from VASP
! - total moment (μB/cell) = 0.000
! - relative energy among the computed polymorphs (eV per formula unit) = 0.31
! - SG = Pmm2
! - uncorrected energy (eV per atom) = -2.09
&SYSTEM
  ibrav = 0, nat = 4, ntyp = 3
/
ATOMIC_SPECIES
Si 28.09 Si.upf
Hg 200.59 Hg.upf
Pb 207.20 Pb.upf
ATOMIC_POSITIONS angstrom
Si 0.000 0.000 0.000
Hg 0.000 0.000 3.060
Hg 1.727 2.103 1.478
Pb 1.727 2.103 5.037
CELL_PARAMETERS angstrom
3.454 0.000 0.000
0.000 4.206 0.000
0.000 0.000 6.747

=====

[16]
! Nb12ReMo6 | the Alexandria database | PBE | relaxed; values from VASP
! - total moment (μB/cell) = 0.000
! - E_form (eV/atom) = 0.33
! - SG = R-3
! - uncorrected energy (eV per atom) = -10.10
&SYSTEM
  ibrav = 0, nat = 19, ntyp = 3
/
ATOMIC_SPECIES
Nb 92.91 Nb.upf
Re 186.21 Re.upf
Mo 95.94 Mo.upf
ATOMIC_POSITIONS angstrom
Nb -0.386 -4.339 2.279
Nb -3.565 2.504 2.279
Nb -1.288 -1.130 2.390
Nb -3.951 -1.835 5.770
Nb -0.335 1.681 2.390
Nb 1.623 -0.551 2.390
Nb -1.623 0.551 5.660
Nb 0.335 -1.681 5.660
Nb 3.951 1.835 2.279
Nb 1.288 1.130 5.660
Nb 3.565 -2.504 5.770
Nb 0.386 4.339 5.770
Re 0.000 0.000 0.000
Mo -3.290 0.161 3.755
Mo -1.784 -2.769 4.294
Mo 1.506 -2.930 3.755
Mo -1.506 2.930 4.294
Mo 1.784 2.769 3.755
Mo 3.290 -0.161 4.294
CELL_PARAMETERS angstrom
6.087 3.515 2.683
-6.087 3.515 2.683
0.000 -7.029 2.683

=====

[17]
! PuHfCu | the Alexandria database | PBE | relaxed; values from VASP
! - total moment (μB/cell) = 10.536
! - E_form (eV/atom) = 0.02
! - relative energy among the computed polymorphs (eV per formula unit) = 0.00
! - SG = Fmmm
! - uncorrected energy (eV per atom) = -9.44
&SYSTEM
  ibrav = 0, nat = 6, ntyp = 3
/
ATOMIC_SPECIES
Pu 244.00 Pu.upf
Hf 178.49 Hf.upf
Cu 63.55 Cu.upf
ATOMIC_POSITIONS angstrom
Pu 2.557 1.453 5.150
Pu 2.557 7.593 5.150
Hf 2.557 4.523 3.581
Hf 2.557 4.523 6.719
Cu 1.278 2.262 2.575
Cu 3.835 6.785 7.725
CELL_PARAMETERS angstrom
0.000 4.523 5.150
2.557 0.000 5.150
2.557 4.523 0.000

=====

[18]
! InSi2Pt | the Alexandria database | PBE | relaxed; values from VASP
! - total moment (μB/cell) = 0.000
! - SG = C2/m
! - uncorrected energy (eV per atom) = -4.80
&SYSTEM
  ibrav = 0, nat = 4, ntyp = 3
/
ATOMIC_SPECIES
In 114.82 In.upf
Si 28.09 Si.upf
Pt 195.08 Pt.upf
ATOMIC_POSITIONS angstrom
In 0.000 0.000 0.000
Si 0.006 2.429 1.360
Si 0.006 -2.429 1.360
Pt 2.716 0.000 0.000
CELL_PARAMETERS angstrom
2.716 -4.857 0.000
2.716 4.857 0.000
-2.704 0.000 2.720

=====

[19]
! YSi2 | the Alexandria database | PBE | relaxed; values from VASP
! - total moment (μB/cell) = 0.000
! - SG = Pa-3
! - uncorrected energy (eV per atom) = -5.43
&SYSTEM
  ibrav = 0, nat = 12, ntyp = 2
/
ATOMIC_SPECIES
Y 88.91 Y.upf
Si 28.09 Si.upf
ATOMIC_POSITIONS angstrom
Y 0.000 0.000 0.000
Y 0.000 3.413 3.413
Y 3.413 0.000 3.413
Y 3.413 3.413 0.000
Si 0.643 4.056 6.184
Si 0.643 6.184 2.771
Si 2.771 0.643 6.184
Si 2.771 2.771 2.771
Si 4.056 4.056 4.056
Si 4.056 6.184 0.643
Si 6.184 0.643 4.056
Si 6.184 2.771 0.643
CELL_PARAMETERS angstrom
6.827 0.000 0.000
0.000 6.827 0.000
0.000 0.000 6.827